The following is a GGA-PBEsol calculation of crystalline Al2InAs at its relaxed geometry, from Alexandria.

The volume is 82.4 Å³/f.u. The formation energy is -33.4 meV per atom.

The space group is R-3m (No. 166, hexagonal axes) and the conventional cell measures 3.6497, 3.6497 and 21.4217 Å, with angles of 90.00, 90.00 and 120.00 degrees. Symmetry generates all atoms from Al at (0.0000, 0.0000, 0.2359), In at (0.0000, 0.0000, 0.0000) and As at (0.0000, 0.0000, 0.5000).

---

The following is a GGA-PBEsol calculation of crystalline CsTi2P3O10F4 at its relaxed geometry, from Alexandria.

The volume is 315.7 Å³/f.u. The calculation puts the formation energy (no corrections) at -261.7 kJ per mole of atoms.

The space group is P2/c (No. 13) and the conventional cell measures 8.529, 8.419 and 8.823 Å, with angles of 90.00, 94.72 and 90.00 degrees. Symmetry generates all atoms from Cs at (0.000, 0.089, 0.250), Ti at (0.329, 0.245, 0.950), P at (0.302, 0.395, 0.602), P at (0.500, 0.039, 0.250), O at (0.256, 0.355, 0.760), O at (0.270, 0.431, 0.064), O at (0.385, 0.064, 0.833), O at (0.401, 0.144, 0.136), O at (0.463, 0.338, 0.568), F at (0.131, 0.162, 0.960) and F at (0.183, 0.300, 0.490).

---

The following is a GGA-PBEsol calculation of crystalline Ir2NO at its relaxed geometry, from Alexandria.

The volume is 41.3 Å³/f.u. The calculation puts the formation energy (no corrections) at 118.7 kJ per mole of atoms.

The space group is Fm-3m (No. 225) and the conventional cell measures 5.488, 5.488 and 5.488 Å, with angles of 90.00, 90.00 and 90.00 degrees. Symmetry generates all atoms from Ir at (0.250, 0.250, 0.250), N at (0.000, 0.000, 0.000) and O at (0.000, 0.000, 0.500).

---

The following is a GGA-PBEsol calculation of crystalline Rb5Tm3Br12 at its relaxed geometry, from Alexandria.

The volume is 683.1 Å³/f.u. The calculation puts the formation energy (no corrections) at -163.8 kJ per mole of atoms.

The space group is P-62m (No. 189) and the conventional cell measures 13.8378, 13.8378 and 4.1190 Å, with angles of 90.00, 90.00 and 120.00 degrees. Symmetry generates all atoms from Rb at (0.0000, 0.7228, 0.0000), Rb at (0.3333, 0.6667, 0.0000), Tm at (0.0000, 0.3334, 0.5000), Br at (0.0000, 0.1926, 0.0000), Br at (0.0000, 0.4716, 0.0000) and Br at (0.2129, 0.7704, 0.5000).

---

Q: Number 3 is which compound?
A: Ir2NO